[1]
Density functional theory data (GGA-PBE) for a geometry-optimized V2ZnBiS structure.

Cell: 4.8754 5.0385 4.8754 Å, 90.00 90.00 90.00°
Atoms (fractional coordinates):
S 0.5000 0.5000 0.5000
Zn 0.0000 0.0000 0.0000
Bi 0.0000 0.5000 0.0000
V 0.0000 0.0000 0.5000
V 0.5000 0.0000 0.0000

Computed properties:
Its formation energy from raw total energies is 1.13 eV per atom. The space group is P4/mmm (123).

***

[2]
Density functional theory data (GGA-PBE) for a geometry-optimized Sr2Zn2Ir structure.

Cell: 4.3775 6.0913 10.7392 Å, 90.57 101.77 110.99°
Atoms (fractional coordinates):
Sr 0.9268 0.7268 0.1282
Sr 0.3394 0.3414 0.3392
Sr 0.0732 0.2732 0.8718
Sr 0.6606 0.6586 0.6608
Zn 0.3807 0.8767 0.8826
Zn 0.8608 0.1655 0.5550
Zn 0.6193 0.1233 0.1174
Zn 0.1392 0.8345 0.4450
Ir 0.3730 0.0707 0.6736
Ir 0.6270 0.9293 0.3264

Computed properties:
The space group is P-1 (2). As for the distance to the lowest polymorph of the same formula: 0 meV per atom.

***

[3]
Density functional theory data (GGA-PBE) for a geometry-optimized LaN2ClF structure.

Cell: 5.0226 5.0226 4.5355 Å, 90.00 90.00 90.00°
Atoms (fractional coordinates):
N 0.0000 0.5000 0.0000
N 0.5000 0.0000 0.0000
F 0.0000 0.0000 0.5000
Cl 0.5000 0.5000 0.5000
La 0.0000 0.0000 0.0000

Computed properties:
Its formation energy from raw total energies is -0.07 eV per atom. The space group is P4/mmm (123). As for the distance to the lowest polymorph of the same formula: 0 meV per atom.

***

[4]
Density functional theory data (GGA-PBE) for a geometry-optimized Pr3Ge5Te12 structure.

Cell: 15.2169 15.2169 15.2169 Å, 109.47 109.47 109.47°
Atoms (fractional coordinates):
Pr 0.7500 0.3750 0.1250
Pr 0.8750 0.7500 0.1250
Pr 0.3750 0.7500 0.6250
Pr 0.2500 0.1250 0.3750
Pr 0.8750 0.1250 0.2500
Pr 0.3750 0.6250 0.2500
Pr 0.6250 0.3750 0.7500
Pr 0.1250 0.8750 0.7500
Pr 0.7500 0.8750 0.6250
Pr 0.6250 0.2500 0.3750
Pr 0.1250 0.2500 0.8750
Pr 0.2500 0.6250 0.8750
Ge 0.1250 0.3750 0.2500
Ge 0.0000 0.5000 0.0000
Ge 0.0000 0.0000 0.0000
Ge 0.3750 0.2500 0.1250
Ge 0.5000 0.0000 0.5000
Ge 0.5000 0.5000 0.0000
Ge 0.1250 0.7500 0.3750
Ge 0.7500 0.1250 0.8750
Ge 0.7500 0.6250 0.3750
Ge 0.3750 0.1250 0.7500
Ge 0.6250 0.8750 0.2500
Ge 0.5000 0.5000 0.5000
Ge 0.5000 0.0000 0.0000
Ge 0.0000 0.0000 0.5000
Ge 0.2500 0.3750 0.6250
Ge 0.2500 0.8750 0.1250
Ge 0.0000 0.5000 0.5000
Ge 0.8750 0.2500 0.6250
Ge 0.6250 0.7500 0.8750
Ge 0.8750 0.6250 0.7500
Te 0.7139 0.1272 0.0373
Te 0.3235 0.5373 0.4101
Te 0.9627 0.3728 0.2861
Te 0.5373 0.2139 0.1272
Te 0.5866 0.7139 0.6765
Te 0.9627 0.5899 0.1765
Te 0.3235 0.7861 0.4134
Te 0.0899 0.9134 0.1272
Te 0.5899 0.9627 0.6765
Te 0.7139 0.5866 0.1765
Te 0.7861 0.4627 0.3728
Te 0.8235 0.9101 0.0373
Te 0.1272 0.7139 0.5373
Te 0.3728 0.4101 0.0866
Te 0.0866 0.9101 0.3728
Te 0.4134 0.1272 0.5899
Te 0.0866 0.1765 0.2139
Te 0.4627 0.6765 0.0899
Te 0.8235 0.9134 0.2861
Te 0.1272 0.4134 0.0899
Te 0.3728 0.9627 0.7861
Te 0.5899 0.6272 0.4134
Te 0.9101 0.8235 0.5373
Te 0.7861 0.3235 0.9134
Te 0.4101 0.3728 0.5866
Te 0.0899 0.1765 0.4627
Te 0.2139 0.6765 0.0866
Te 0.1765 0.0866 0.7139
Te 0.6272 0.0373 0.2139
Te 0.8728 0.5866 0.9101
Te 0.5373 0.3235 0.9101
Te 0.5866 0.8728 0.4101
Te 0.9134 0.8235 0.7861
Te 0.9134 0.0899 0.6272
Te 0.8728 0.2861 0.4627
Te 0.1765 0.0899 0.9627
Te 0.6272 0.5899 0.9134
Te 0.4101 0.0373 0.3235
Te 0.2861 0.4134 0.8235
Te 0.2139 0.5373 0.6272
Te 0.9101 0.0866 0.8728
Te 0.6765 0.2139 0.5866
Te 0.4627 0.7861 0.8728
Te 0.0373 0.4101 0.8235
Te 0.4134 0.2861 0.3235
Te 0.0373 0.6272 0.7139
Te 0.6765 0.4627 0.5899
Te 0.2861 0.8728 0.9627

Computed properties:
Its formation energy from raw total energies is -0.53 eV per atom. The space group is Ia-3d (230).

***

[5]
Density functional theory data (GGA-PBE) for a geometry-optimized ZnCrPb2Br structure.

Cell: 5.9057 4.7518 5.9057 Å, 90.00 90.00 90.00°
Atoms (fractional coordinates):
Pb 0.0000 0.0000 0.5000
Pb 0.5000 0.0000 0.0000
Cr 0.0000 0.5000 0.0000
Zn 0.5000 0.5000 0.5000
Br 0.0000 0.0000 0.0000

Computed properties:
Its formation energy from raw total energies is 0.78 eV per atom. The space group is P4/mmm (123).

***

[6]
Density functional theory data (GGA-PBE) for a geometry-optimized TbYScCd structure.

Cell: 3.5494 3.5494 8.7575 Å, 90.00 90.00 90.00°
Atoms (fractional coordinates):
Tb 0.5000 0.5000 0.8136
Y 0.5000 0.5000 0.3298
Sc 0.0000 0.0000 0.0705
Cd 0.0000 0.0000 0.5708

Computed properties:
The space group is P4mm (99). As for the distance to the lowest polymorph of the same formula: 0 meV per atom.

***

[7]
Density functional theory data (GGA-PBE) for a geometry-optimized OsBr4 structure.

Cell: 6.4536 6.8125 7.8229 Å, 90.00 90.00 107.29°
Atoms (fractional coordinates):
Os 0.2500 0.0000 0.8700
Os 0.7500 0.0000 0.1300
Br 0.9647 0.2343 0.3407
Br 0.5118 0.7908 0.8898
Br 0.4882 0.2092 0.1102
Br 0.0353 0.7657 0.6593
Br 0.9882 0.2092 0.8898
Br 0.4647 0.2343 0.6593
Br 0.5353 0.7657 0.3407
Br 0.0118 0.7908 0.1102

Computed properties:
Its formation energy from raw total energies is -0.08 eV per atom. The space group is P2/c (13). As for the distance to the lowest polymorph of the same formula: 0 meV per atom.

***

[8]
Density functional theory data (GGA-PBE) for a geometry-optimized BaSr2In6 structure.

Cell: 4.4453 8.7457 8.7457 Å, 120.00 90.00 90.00°
Atoms (fractional coordinates):
Ba 0.0000 0.0000 0.0000
Sr 0.0000 0.3333 0.6667
Sr 0.0000 0.6667 0.3333
In 0.5000 0.3355 0.3355
In 0.5000 0.6645 0.6645
In 0.5000 0.0000 0.6645
In 0.5000 0.6645 0.0000
In 0.5000 0.3355 0.0000
In 0.5000 0.0000 0.3355

Computed properties:
The space group is P6/mmm (191). As for the distance to the lowest polymorph of the same formula: 0 meV per atom.

***

[9]
Density functional theory data (GGA-PBE) for a geometry-optimized Ac4TlSiBr2 structure.

Cell: 4.6546 7.8839 8.3217 Å, 69.91 90.00 90.00°
Atoms (fractional coordinates):
Ac 0.0000 0.7344 0.7387
Ac 0.0000 0.2656 0.2613
Ac 0.5000 0.7249 0.2686
Ac 0.5000 0.2751 0.7314
Tl 0.5000 0.5000 0.0000
Si 0.0000 0.5000 0.5000
Br 0.0000 0.0000 0.0000
Br 0.5000 0.0000 0.5000

Computed properties:
Its formation energy from raw total energies is -0.90 eV per atom. The space group is P2/m (10).

***

[10]
Density functional theory data (GGA-PBE) for a geometry-optimized Pa2AgAu3 structure.

Cell: 5.7623 5.7623 8.9211 Å, 101.19 101.19 113.52°
Atoms (fractional coordinates):
Pa 0.2500 0.7500 0.5000
Pa 0.7527 0.7527 0.0000
Pa 0.7500 0.2500 0.5000
Pa 0.2473 0.2473 0.0000
Ag 0.6666 0.6666 0.3331
Ag 0.3334 0.3334 0.6669
Au 0.3358 0.8320 0.1678
Au 0.1680 0.6642 0.8322
Au 0.6642 0.1680 0.8322
Au 0.8320 0.3358 0.1678
Au 0.1679 0.1679 0.3358
Au 0.8321 0.8321 0.6642

Computed properties:
The total DFT energy (no corrections) is -5.64 eV/atom. The space group is Fmmm (69).

***

[11]
Density functional theory data (GGA-PBE) for a geometry-optimized CoTcSb2 structure.

Cell: 3.2139 5.4876 5.4272 Å, 47.37 90.00 90.00°
Atoms (fractional coordinates):
Co 0.0000 0.0000 0.5000
Sb 0.0000 0.0000 0.0000
Sb 0.5000 0.5000 0.0000
Tc 0.5000 0.5000 0.5000

Computed properties:
Its formation energy from raw total energies is 0.29 eV per atom. The space group is P2/m (10). As for the distance to the lowest polymorph of the same formula: 180 meV per atom.

***

[12]
Density functional theory data (GGA-PBE) for a geometry-optimized NpFe2 structure.

Cell: 4.9598 4.9598 4.9598 Å, 60.00 60.00 60.00°
Atoms (fractional coordinates):
Np 0.0000 0.0000 0.0000
Np 0.2500 0.2500 0.2500
Fe 0.1250 0.6250 0.6250
Fe 0.6250 0.1250 0.6250
Fe 0.6250 0.6250 0.6250
Fe 0.6250 0.6250 0.1250

Computed properties:
The total DFT energy (no corrections) is -9.94 eV/atom. The space group is Fd-3m (227).

***

Please write out number 3 again, unchanged.
Density functional theory data (GGA-PBE) for a geometry-optimized LaN2ClF structure.

Cell: 5.0226 5.0226 4.5355 Å, 90.00 90.00 90.00°
Atoms (fractional coordinates):
N 0.0000 0.5000 0.0000
N 0.5000 0.0000 0.0000
F 0.0000 0.0000 0.5000
Cl 0.5000 0.5000 0.5000
La 0.0000 0.0000 0.0000

Computed properties:
Its formation energy from raw total energies is -0.07 eV per atom. The space group is P4/mmm (123). As for the distance to the lowest polymorph of the same formula: 0 meV per atom.